TlRe, optimized geometry, DFT PBE; energy of formation = 2.43 eV/f.u.; M_tot = 0.0 Bohr magnetons per cell; ΔE to the lowest computed polymorph = 729.6 meV per atom
1.0
3.056 0.000 0.000
-1.528 2.647 0.000
0.000 0.000 9.180
Tl Re
2 2
direct
0.000 0.000 0.000 Tl
0.000 0.000 0.500 Tl
0.333 0.667 0.250 Re
0.667 0.333 0.750 Re

---

TlRe, optimized geometry, DFT PBE; energy of formation = 1.65 eV/f.u.; M_tot = 0.0 Bohr magnetons per cell; ΔE to the lowest computed polymorph = 342.2 meV per atom
1.0
5.874 -1.513 0.000
5.874 1.513 0.000
-0.078 0.000 7.049
Tl Re
3 3
direct
0.000 0.000 0.000 Tl
0.024 0.024 0.453 Tl
0.767 0.767 0.339 Tl
0.258 0.258 0.980 Re
0.354 0.354 0.690 Re
0.665 0.665 0.723 Re

---

Tl5Re, optimized geometry, DFT PBE; energy of formation = 6.69 eV/f.u.; M_tot = 3.9 Bohr magnetons per cell; ΔE to the lowest computed polymorph = 626.1 meV per atom
1.0
6.054 0.000 0.000
-3.027 5.243 0.000
0.000 0.000 5.977
Tl Re
5 1
direct
0.000 0.500 0.000 Tl
0.333 0.667 0.500 Tl
0.500 0.000 0.000 Tl
0.500 0.500 0.000 Tl
0.667 0.333 0.500 Tl
0.000 0.000 0.500 Re